1.
This record from the Alexandria database describes a relaxed AlSI2 crystal. The functional is PBE-GGA.

Results
Fermi-level density of states, states/eV/cell: 3.51
E above lowest polymorph, eV/atom: 0.000
Symmetry: I-42d, No. 122
Formation energy without anion corrections, kJ/mol of atoms: -13

a b c (Å): 7.8779 7.8779 7.8779
angles (deg): 94.78 94.78 146.44
Closest atoms and distances in Å follow each position.
Atoms (fractional coordinates):
Al  0.0000  0.0000  0.0000  2 S 2.27
Al  0.7500  0.2500  0.5000  2 S 2.27
S  0.2500  0.7500  0.5000  2 Al 2.27
S  0.5000  0.5000  0.0000  2 Al 2.27
I  0.3750  0.2130  0.3380  2 Al 2.88
I  0.7870  0.1250  0.1620  2 Al 2.88
I  0.8750  0.0370  0.6620  2 Al 2.88
I  0.9630  0.6250  0.8380  2 Al 2.88

---

2.
This record from the Alexandria database describes a relaxed Al2SI crystal. The functional is PBE-GGA.

Results
Fermi-level density of states, states/eV/cell: 3.54
E above lowest polymorph, eV/atom: 0.000
Symmetry: I-42d, No. 122
Formation energy without anion corrections, kJ/mol of atoms: -3

a b c (Å): 6.4345 6.4345 6.4345
angles (deg): 110.03 110.03 108.37
Closest atoms and distances in Å follow each position.
Atoms (fractional coordinates):
Al  0.0666  0.6250  0.9416  2 S 2.51
Al  0.3750  0.3166  0.4416  2 S 2.51
Al  0.6834  0.1250  0.0584  2 S 2.51
Al  0.8750  0.9334  0.5584  2 S 2.51
S  0.0000  0.0000  0.0000  4 Al 2.51
S  0.7500  0.2500  0.5000  4 Al 2.51
I  0.2500  0.7500  0.5000  4 Al 3.08
I  0.5000  0.5000  0.0000  4 Al 3.08